# 1
First-principles (PBE) data for a relaxed PrGa2Au crystal, as listed in Alexandria via LeMat-Bulk.

The structure in POSCAR format:
```
PrGa2Au
1.0
2.1969 1.2684 5.2399
-2.1969 1.2684 5.2399
0.0000 -2.5367 5.2399
Pr Ga Au
1 2 1
Cartesian
0.0000 0.0000 0.0000
0.0000 0.0000 3.4327
0.0000 0.0000 12.2870
0.0000 0.0000 7.8598
```

V in Å³/f.u.: 87.6
Formation energy from the elements in eV/atom: -0.62



# 2
First-principles (PBE) data for a relaxed Pr2Ga7Au crystal, as listed in Alexandria via LeMat-Bulk.

The structure in POSCAR format:
```
Pr2Ga7Au
1.0
4.3908 0.0000 0.0000
0.0000 4.3908 0.0000
0.0000 0.0000 10.6171
Pr Ga Au
2 7 1
Cartesian
0.0000 2.1954 2.6297
2.1954 0.0000 7.9873
0.0000 0.0000 0.0000
0.0000 0.0000 5.3085
0.0000 2.1954 6.7310
0.0000 2.1954 9.1956
2.1954 0.0000 1.4214
2.1954 0.0000 3.8861
2.1954 2.1954 5.3085
2.1954 2.1954 0.0000
```

V in Å³/f.u.: 204.7
Formation energy from the elements in eV/atom: -0.51



# 3
First-principles (PBE) data for a relaxed Pr4Ga3Au crystal, as listed in Alexandria via LeMat-Bulk.

The structure in POSCAR format:
```
Pr4Ga3Au
1.0
4.3482 0.0000 0.0000
0.0000 4.3862 0.0000
0.0000 0.0000 11.3558
Pr Ga Au
4 3 1
Cartesian
0.0000 0.0000 0.0000
0.0000 2.1931 5.6570
2.1741 0.0000 3.2041
2.1741 2.1931 8.9004
0.0000 0.0000 8.0815
0.0000 2.1931 2.4882
2.1741 0.0000 6.4853
2.1741 2.1931 0.7472
```

V in Å³/f.u.: 216.6
Formation energy from the elements in eV/atom: -0.60



# 4
First-principles (PBE) data for a relaxed PrGa3Au5 crystal, as listed in Alexandria via LeMat-Bulk.

The structure in POSCAR format:
```
PrGa3Au5
1.0
2.0384 -6.6591 0.0000
2.0384 6.6591 0.0000
0.0000 0.0000 13.7656
Pr Ga Au
2 6 10
Cartesian
2.0384 4.2051 10.3242
2.0384 -4.2051 3.4414
2.0384 5.7331 3.4414
2.0384 1.8878 0.0368
2.0384 1.8878 6.8460
2.0384 -1.8878 6.9196
2.0384 -1.8878 13.7288
2.0384 -5.7331 10.3242
0.0000 0.0000 0.0000
0.0000 0.0000 6.8828
2.0384 3.9869 1.5362
2.0384 3.9869 5.3466
2.0384 0.1667 2.0485
2.0384 0.1667 4.8343
2.0384 -0.1667 8.9313
2.0384 -0.1667 11.7172
2.0384 -3.9869 8.4190
2.0384 -3.9869 12.2294
```

V in Å³/f.u.: 186.9
Formation energy from the elements in eV/atom: -0.39



# 5
First-principles (PBE) data for a relaxed Pr8GaAu2 crystal, as listed in Alexandria via LeMat-Bulk.

The structure in POSCAR format:
```
Pr8GaAu2
1.0
9.4803 -2.6379 0.0000
9.4803 2.6379 0.0000
-2.3614 0.0000 6.7857
Pr Ga Au
8 1 2
Cartesian
-0.2498 0.0000 1.8795
1.7720 0.0000 5.6874
5.0636 0.0000 3.4453
7.6858 0.0000 0.2181
8.9135 0.0000 6.5677
11.5357 0.0000 3.3405
14.8273 0.0000 1.0983
16.8491 0.0000 4.9062
8.2997 0.0000 3.3929
2.7461 0.0000 1.5816
13.8532 0.0000 5.2042
```

V in Å³/f.u.: 339.4
Polymorph energy (0 for the lowest one) in meV per atom: 0.0
Formation energy from the elements in eV/atom: -0.36



# 6
First-principles (PBE) data for a relaxed PrGa4Pt2Au crystal, as listed in Alexandria via LeMat-Bulk.

The structure in POSCAR format:
```
PrGa4Pt2Au
1.0
2.1586 1.2462 9.3028
-2.1586 1.2462 9.3028
0.0000 -2.4925 9.3028
Pr Ga Pt Au
1 4 2 1
Cartesian
0.0000 0.0000 0.0000
0.0000 0.0000 3.4848
0.0000 0.0000 11.1232
0.0000 0.0000 16.7851
0.0000 0.0000 24.4234
0.0000 0.0000 6.8992
0.0000 0.0000 21.0091
0.0000 0.0000 13.9541
```

V in Å³/f.u.: 150.2
Formation energy from the elements in eV/atom: -0.59



# 7
First-principles (PBE) data for a relaxed PrGa2PtAu2 crystal, as listed in Alexandria via LeMat-Bulk.

The structure in POSCAR format:
```
PrGa2PtAu2
1.0
4.8238 0.0000 0.0000
0.0000 4.8238 0.0000
0.0000 0.0000 5.7835
Pr Ga Pt Au
1 2 1 2
Cartesian
0.0000 0.0000 0.0000
0.0000 2.4119 2.8918
2.4119 0.0000 2.8918
0.0000 0.0000 2.8918
2.4119 2.4119 1.3516
2.4119 2.4119 4.4320
```

V in Å³/f.u.: 134.6
Formation energy from the elements in eV/atom: -0.47



# 8
First-principles (PBE) data for a relaxed PrGa3PtAu crystal, as listed in Alexandria via LeMat-Bulk.

The structure in POSCAR format:
```
PrGa3PtAu
1.0
3.1845 -7.4837 0.0000
3.1845 7.4837 0.0000
0.0000 0.0000 5.9937
Pr Ga Pt Au
2 6 2 2
Cartesian
3.1845 4.9289 4.4952
3.1845 -4.9289 1.4984
3.1845 3.9372 1.4984
1.6930 0.0000 0.0000
1.6930 0.0000 2.9968
4.6760 0.0000 0.0000
4.6760 0.0000 2.9968
3.1845 -3.9372 4.4952
3.1845 6.3252 1.4984
3.1845 -6.3252 4.4952
3.1845 1.5118 1.4984
3.1845 -1.5118 4.4952
```

V in Å³/f.u.: 142.8
Formation energy from the elements in eV/atom: -0.44



# 9
First-principles (PBE) data for a relaxed Pr2Ga3Pt4Au crystal, as listed in Alexandria via LeMat-Bulk.

The structure in POSCAR format:
```
Pr2Ga3Pt4Au
1.0
4.1304 0.0000 0.0000
0.0000 4.1304 0.0000
0.0000 0.0000 11.6568
Pr Ga Pt Au
2 3 4 1
Cartesian
0.0000 2.0652 2.8781
2.0652 0.0000 8.7787
0.0000 0.0000 0.0000
0.0000 2.0652 7.3099
2.0652 0.0000 4.3470
0.0000 0.0000 5.8284
0.0000 2.0652 9.7953
2.0652 0.0000 1.8615
2.0652 2.0652 5.8284
2.0652 2.0652 0.0000
```

V in Å³/f.u.: 198.9
Formation energy from the elements in eV/atom: -0.88



# 10
First-principles (PBE) data for a relaxed Pr2Ga4PtAu3 crystal, as listed in Alexandria via LeMat-Bulk.

The structure in POSCAR format:
```
Pr2Ga4PtAu3
1.0
4.4467 0.0000 0.0000
0.0000 4.4467 0.0000
0.0000 0.0000 10.4585
Pr Ga Pt Au
2 4 1 3
Cartesian
0.0000 2.2233 2.5878
2.2233 0.0000 7.8708
0.0000 0.0000 5.2293
0.0000 2.2233 9.1558
2.2233 0.0000 1.3028
2.2233 2.2233 5.2293
2.2233 2.2233 0.0000
0.0000 0.0000 0.0000
0.0000 2.2233 6.6344
2.2233 0.0000 3.8241
```

V in Å³/f.u.: 206.8
Formation energy from the elements in eV/atom: -0.72



# 11
First-principles (PBE) data for a relaxed PrGaPt3Au crystal, as listed in Alexandria via LeMat-Bulk.

The structure in POSCAR format:
```
PrGaPt3Au
1.0
3.5706 -6.0671 0.0000
3.5706 6.0671 0.0000
0.0000 0.0000 5.7728
Pr Ga Pt Au
2 2 6 2
Cartesian
3.5706 3.6124 4.3296
3.5706 -3.6124 1.4432
3.5706 4.5243 1.4432
3.5706 -4.5243 4.3296
1.4015 0.0000 0.0000
1.4015 0.0000 2.8864
3.5706 2.1232 1.4432
3.5706 -2.1232 4.3296
5.7397 0.0000 0.0000
5.7397 0.0000 2.8864
3.5706 0.7116 4.3296
3.5706 -0.7116 1.4432
```

V in Å³/f.u.: 125.1
Formation energy from the elements in eV/atom: -0.51



# 12
First-principles (PBE) data for a relaxed Pr2Ga4Pt3Au crystal, as listed in Alexandria via LeMat-Bulk.

The structure in POSCAR format:
```
Pr2Ga4Pt3Au
1.0
4.3514 0.0000 0.0000
0.0000 4.3514 0.0000
0.0000 0.0000 10.5287
Pr Ga Pt Au
2 4 3 1
Cartesian
0.0000 2.1757 2.5409
2.1757 0.0000 7.9879
0.0000 0.0000 0.0000
0.0000 2.1757 6.6879
2.1757 0.0000 3.8409
2.1757 2.1757 0.0000
0.0000 2.1757 9.1709
2.1757 0.0000 1.3579
2.1757 2.1757 5.2644
0.0000 0.0000 5.2644
```

V in Å³/f.u.: 199.4
Formation energy from the elements in eV/atom: -0.89



# 13
First-principles (PBE) data for a relaxed PrPuGaAu crystal, as listed in Alexandria via LeMat-Bulk.

The structure in POSCAR format:
```
PrPuGaAu
1.0
0.0000 3.6977 3.6977
3.6977 0.0000 3.6977
3.6977 3.6977 0.0000
Pr Pu Ga Au
1 1 1 1
Cartesian
0.0000 0.0000 0.0000
3.6977 3.6977 3.6977
5.5465 5.5465 5.5465
1.8488 1.8488 1.8488
```

V in Å³/f.u.: 101.1
Formation energy from the elements in eV/atom: -0.42



# 14
First-principles (PBE) data for a relaxed PrPu2Ga2Au2 crystal, as listed in Alexandria via LeMat-Bulk.

The structure in POSCAR format:
```
PrPu2Ga2Au2
1.0
2.3159 1.3371 8.6871
-2.3159 1.3371 8.6871
0.0000 -2.6742 8.6871
Pr Pu Ga Au
1 2 2 2
Cartesian
0.0000 0.0000 0.0000
0.0000 0.0000 3.5274
0.0000 0.0000 22.5339
0.0000 0.0000 6.7078
0.0000 0.0000 19.3535
0.0000 0.0000 10.6231
0.0000 0.0000 15.4382
```

V in Å³/f.u.: 161.4
Formation energy from the elements in eV/atom: -0.47



# 15
First-principles (PBE) data for a relaxed PrGa4RhAu2 crystal, as listed in Alexandria via LeMat-Bulk.

The structure in POSCAR format:
```
PrGa4RhAu2
1.0
2.1953 1.2675 9.0451
-2.1953 1.2675 9.0451
0.0000 -2.5350 9.0451
Pr Ga Rh Au
1 4 1 2
Cartesian
0.0000 0.0000 0.0000
0.0000 0.0000 3.7018
0.0000 0.0000 10.8936
0.0000 0.0000 16.2418
0.0000 0.0000 23.4336
0.0000 0.0000 13.5677
0.0000 0.0000 6.6492
0.0000 0.0000 20.4862
```

V in Å³/f.u.: 151.0
Formation energy from the elements in eV/atom: -0.48



# 16
First-principles (PBE) data for a relaxed Pr2Ga4RhAu3 crystal, as listed in Alexandria via LeMat-Bulk.

The structure in POSCAR format:
```
Pr2Ga4RhAu3
1.0
4.3609 0.0000 0.0000
0.0000 4.3609 0.0000
0.0000 0.0000 10.7448
Pr Ga Rh Au
2 4 1 3
Cartesian
0.0000 2.1804 2.6508
2.1804 0.0000 8.0940
0.0000 0.0000 5.3724
0.0000 2.1804 9.4006
2.1804 0.0000 1.3442
2.1804 2.1804 5.3724
2.1804 2.1804 0.0000
0.0000 0.0000 0.0000
0.0000 2.1804 6.8562
2.1804 0.0000 3.8885
```

V in Å³/f.u.: 204.3
Formation energy from the elements in eV/atom: -0.67



# 17
First-principles (PBE) data for a relaxed Pr3GaRh3Au2 crystal, as listed in Alexandria via LeMat-Bulk.

The structure in POSCAR format:
```
Pr3GaRh3Au2
1.0
7.7010 0.0000 0.0000
-3.8505 6.6693 0.0000
0.0000 0.0000 3.7524
Pr Ga Rh Au
3 1 3 2
Cartesian
-1.4830 2.5686 0.0000
2.9659 0.0000 0.0000
2.3675 4.1007 0.0000
0.0000 0.0000 0.0000
-2.9715 5.1469 1.8762
0.8790 1.5224 1.8762
5.9431 0.0000 1.8762
0.0000 4.4462 1.8762
3.8505 2.2231 1.8762
```

V in Å³/f.u.: 192.7
Formation energy from the elements in eV/atom: -0.69



# 18
First-principles (PBE) data for a relaxed Pr2Ga4Rh3Au crystal, as listed in Alexandria via LeMat-Bulk.

The structure in POSCAR format:
```
Pr2Ga4Rh3Au
1.0
4.3523 0.0000 0.0000
0.0000 4.3523 0.0000
0.0000 0.0000 10.2435
Pr Ga Rh Au
2 4 3 1
Cartesian
0.0000 2.1761 2.5648
2.1761 0.0000 7.6786
0.0000 0.0000 0.0000
0.0000 2.1761 6.5089
2.1761 0.0000 3.7345
2.1761 2.1761 0.0000
0.0000 2.1761 8.9808
2.1761 0.0000 1.2627
2.1761 2.1761 5.1217
0.0000 0.0000 5.1217
```

V in Å³/f.u.: 194.0
Formation energy from the elements in eV/atom: -0.73



# 19
First-principles (PBE) data for a relaxed PrScGaAu crystal, as listed in Alexandria via LeMat-Bulk.

The structure in POSCAR format:
```
PrScGaAu
1.0
0.0000 3.5930 3.5930
3.5930 0.0000 3.5930
3.5930 3.5930 0.0000
Pr Sc Ga Au
1 1 1 1
Cartesian
0.0000 0.0000 0.0000
3.5930 3.5930 3.5930
1.7965 1.7965 1.7965
5.3895 5.3895 5.3895
```

V in Å³/f.u.: 92.8
Formation energy from the elements in eV/atom: -0.60



# 20
First-principles (PBE) data for a relaxed PrScGa2Au2 crystal, as listed in Alexandria via LeMat-Bulk.

The structure in POSCAR format:
```
PrScGa2Au2
1.0
4.5020 0.0000 0.0000
-2.2510 3.8989 0.0000
0.0000 0.0000 7.1828
Pr Sc Ga Au
1 1 2 2
Cartesian
0.0000 0.0000 0.0000
0.0000 0.0000 3.5914
0.0000 2.5993 5.1091
2.2510 1.2996 2.0737
0.0000 2.5993 2.1168
2.2510 1.2996 5.0660
```

V in Å³/f.u.: 126.1
Formation energy from the elements in eV/atom: -0.76



# 21
First-principles (PBE) data for a relaxed PrSc2GaAu4 crystal, as listed in Alexandria via LeMat-Bulk.

The structure in POSCAR format:
```
PrSc2GaAu4
1.0
2.3506 1.3571 8.9537
-2.3506 1.3571 8.9537
0.0000 -2.7142 8.9537
Pr Sc Ga Au
1 2 1 4
Cartesian
0.0000 0.0000 0.0000
0.0000 0.0000 6.2611
0.0000 0.0000 20.5999
0.0000 0.0000 13.4305
0.0000 0.0000 3.2771
0.0000 0.0000 10.6516
0.0000 0.0000 16.2094
0.0000 0.0000 23.5839
```

V in Å³/f.u.: 171.4
Formation energy from the elements in eV/atom: -0.68



# 22
First-principles (PBE) data for a relaxed PrScGa2Au4 crystal, as listed in Alexandria via LeMat-Bulk.

The structure in POSCAR format:
```
PrScGa2Au4
1.0
2.3322 1.3465 8.5944
-2.3322 1.3465 8.5944
0.0000 -2.6930 8.5944
Pr Sc Ga Au
1 1 2 4
Cartesian
0.0000 0.0000 0.0000
0.0000 0.0000 12.8916
0.0000 0.0000 6.3100
0.0000 0.0000 19.4732
0.0000 0.0000 3.4180
0.0000 0.0000 10.1196
0.0000 0.0000 15.6637
0.0000 0.0000 22.3653
```

V in Å³/f.u.: 161.9
Formation energy from the elements in eV/atom: -0.62



# 23
First-principles (PBE) data for a relaxed Pr3Ga6SiAu2 crystal, as listed in Alexandria via LeMat-Bulk.

The structure in POSCAR format:
```
Pr3Ga6SiAu2
1.0
5.9382 0.0000 0.0000
-2.9691 5.1427 0.0000
0.0000 0.0000 8.6359
Pr Ga Si Au
3 6 1 2
Cartesian
0.0000 0.0000 0.0000
0.0000 3.4284 5.3306
2.9691 1.7142 3.3053
0.0000 1.8664 2.4505
-1.3528 4.2095 2.4505
1.6164 0.9332 6.1854
1.3528 4.2095 2.4505
4.3219 0.9332 6.1854
2.9691 3.2763 6.1854
0.0000 0.0000 4.3179
0.0000 3.4284 0.0266
2.9691 1.7142 8.6092
```

V in Å³/f.u.: 263.7
ΔE_f (raw) in eV/atom: -0.346